DFT (GGA+U) results for a relaxed PuCo2O5 crystal.

Cell lengths 7.795, 6.475, 8.627 Å; angles 90.00, 90.00, 90.00 degrees
Each line ends with the local moment (μB).
Fractional positions:
Pu1 0.497 0.250 0.500  -2.43
Pu2 0.503 0.750 0.500  -2.43
Pu3 0.997 0.750 0.000  -2.43
Pu4 0.003 0.250 0.000  -2.43
Co1 0.589 0.496 0.869  2.74
Co2 0.411 0.504 0.131  2.74
Co3 0.089 0.504 0.631  2.74
Co4 0.411 0.996 0.131  2.74
Co5 0.911 0.496 0.369  2.74
Co6 0.589 0.004 0.869  2.74
Co7 0.911 0.004 0.369  2.74
Co8 0.089 0.996 0.631  2.74
O1 0.997 0.250 0.505  0.26
O2 0.003 0.750 0.495  0.26
O3 0.497 0.750 0.995  0.26
O4 0.503 0.250 0.005  0.26
O5 0.340 0.999 0.571  0.13
O6 0.660 0.001 0.429  0.13
O7 0.840 0.001 0.929  0.13
O8 0.660 0.499 0.429  0.13
O9 0.160 0.999 0.071  0.13
O10 0.340 0.501 0.571  0.13
O11 0.160 0.501 0.071  0.13
O12 0.840 0.499 0.929  0.13
O13 0.108 0.250 0.795  0.15
O14 0.892 0.750 0.205  0.15
O15 0.608 0.750 0.705  0.15
O16 0.392 0.250 0.295  0.15
O17 0.600 0.250 0.708  0.14
O18 0.400 0.750 0.292  0.14
O19 0.100 0.750 0.792  0.14
O20 0.900 0.250 0.208  0.14

Summary:
E in eV/cell: -249.129
Magnetic moment in μB per atom: 0.50
Space-group type: Pnma (62)